(1)
ScNCl3, optimized geometry, DFT PBE-GGA; formation energy without anion corrections = -0.616 eV/atom; energy above the lowest structure with this stoichiometry = 0 meV per atom; symmetry = No. 2; crystal system = triclinic; energy = -4.656 eV/atom
1.0
4.8195 1.1370 -0.6827
3.1393 8.3040 -0.6091
-0.7107 -0.5814 8.7966
Cl N Sc
6 2 2
direct
0.4333 0.3998 0.5260 Cl
0.2553 0.1585 0.7253 Cl
0.1128 0.1413 0.3292 Cl
0.7555 0.6580 0.7252 Cl
0.9349 0.9000 0.5285 Cl
0.6126 0.6418 0.3293 Cl
0.7556 0.8981 0.0843 N
0.6124 0.4018 0.9702 N
0.9332 0.4000 0.5271 Sc
0.4349 0.8999 0.5274 Sc

=====

(2)
ScNCl3, optimized geometry, DFT PBE-GGA; formation energy without anion corrections = -0.554 eV/atom; energy above the lowest structure with this stoichiometry = 62 meV per atom; symmetry = No. 221; crystal system = cubic; energy = -4.594 eV/atom
1.0
5.0005 0.0000 0.0000
0.0000 5.0005 0.0000
0.0000 0.0000 5.0005
Cl N Sc
3 1 1
direct
0.0000 0.5000 0.0000 Cl
0.5000 0.0000 0.0000 Cl
0.0000 0.0000 0.5000 Cl
0.5000 0.5000 0.5000 N
0.0000 0.0000 0.0000 Sc

=====

(3)
ScSe2NCl, optimized geometry, DFT PBE-GGA; formation energy without anion corrections = 0.325 eV/atom; energy above the lowest structure with this stoichiometry = 0 meV per atom; symmetry = No. 123; crystal system = tetragonal; energy = -4.370 eV/atom
1.0
-0.8456 2.5311 -4.5201
-5.1301 0.2282 1.0875
0.5618 3.5794 1.8993
Se Sc N Cl
2 1 1 1
direct
0.5000 0.0000 0.0000 Se
0.0000 0.5000 0.0000 Se
0.0000 0.0000 0.0000 Sc
0.0000 0.0000 0.5000 N
0.5000 0.5000 0.5000 Cl

=====

(4)
ScSe2NCl, optimized geometry, DFT PBE-GGA; formation energy without anion corrections = 0.775 eV/atom; energy above the lowest structure with this stoichiometry = 450 meV per atom; symmetry = No. 123; crystal system = tetragonal; energy = -3.920 eV/atom
1.0
4.9133 0.0000 0.0000
0.0000 4.9133 0.0000
0.0000 0.0000 3.8430
N Cl Se Sc
1 1 2 1
direct
0.0000 0.0000 0.5000 N
0.0000 0.0000 0.0000 Cl
0.5000 0.0000 0.0000 Se
0.0000 0.5000 0.0000 Se
0.5000 0.5000 0.5000 Sc

=====

(5)
ScTa2NCl, optimized geometry, DFT PBE-GGA; formation energy without anion corrections = 1.761 eV/atom; symmetry = No. 123; crystal system = tetragonal; energy = -6.281 eV/atom
1.0
5.0763 0.0000 0.0000
0.0000 3.9377 0.0000
0.0000 0.0000 5.0763
N Sc Cl Ta
1 1 1 2
direct
0.0000 0.5000 0.0000 N
0.0000 0.0000 0.0000 Sc
0.5000 0.5000 0.5000 Cl
0.5000 0.0000 0.0000 Ta
0.0000 0.0000 0.5000 Ta

=====

(6)
ScTeNCl2, optimized geometry, DFT PBE-GGA; formation energy without anion corrections = 0.238 eV/atom; symmetry = No. 123; crystal system = tetragonal; energy = -4.061 eV/atom
1.0
-0.8584 -4.4609 0.1165
2.4974 -0.3779 3.9317
-3.7437 0.7844 2.4534
Te Cl Sc N
1 2 1 1
direct
0.0000 0.5000 0.0000 Te
0.0000 0.0000 0.5000 Cl
0.5000 0.0000 0.0000 Cl
0.5000 0.5000 0.5000 Sc
0.0000 0.0000 0.0000 N